Version i
The following is a PBE calculation of an optimized crystal structure of LuNiMoAs, from OQMD via LeMat-Bulk.

spin magnetization = 3.53 μB per formula unit

Geometry as CIF:
```
data_LuNiMoAs
_space_group_name_H-M_alt 'F -4 3 m'
_space_group_IT_number 216
_space_group_name_Hall 'F -4 2 3'
_cell_length_a 6.554
_cell_length_b 6.554
_cell_length_c 6.554
_cell_angle_alpha 90.00
_cell_angle_beta 90.00
_cell_angle_gamma 90.00
loop_
_atom_site_label
_atom_site_type_symbol
_atom_site_fract_x
_atom_site_fract_y
_atom_site_fract_z
Lu1 Lu 0.000 0.000 0.000
Ni1 Ni 0.000 0.000 0.500
Mo1 Mo 0.250 0.250 0.750
As1 As 0.250 0.250 0.250
```

Version ii
The following is a PBE calculation of an optimized crystal structure of LuNiMoAs, from OQMD via LeMat-Bulk.

spin magnetization = 0.01 μB per formula unit

Geometry as CIF:
```
data_LuNiMoAs
_space_group_name_H-M_alt 'F -4 3 m'
_space_group_IT_number 216
_space_group_name_Hall 'F -4 2 3'
_cell_length_a 6.345
_cell_length_b 6.345
_cell_length_c 6.345
_cell_angle_alpha 90.00
_cell_angle_beta 90.00
_cell_angle_gamma 90.00
loop_
_atom_site_label
_atom_site_type_symbol
_atom_site_fract_x
_atom_site_fract_y
_atom_site_fract_z
Lu1 Lu 0.000 0.000 0.000
Ni1 Ni 0.250 0.250 0.750
Mo1 Mo 0.250 0.250 0.250
As1 As 0.000 0.000 0.500
```

The computed energies, referenced to the most stable structure and given in meV per atom, are version i 313; version ii 0.

Version i
The following is a PBE calculation of an optimized crystal structure of NaLuAsO, from OQMD via LeMat-Bulk.

spin magnetization = 0.00 μB per formula unit

Geometry as CIF:
```
data_NaLuAsO
_space_group_name_H-M_alt 'P 4/n m m'
_space_group_IT_number 129
_cell_length_a 3.813
_cell_length_b 3.813
_cell_length_c 10.292
_cell_angle_alpha 90.00
_cell_angle_beta 90.00
_cell_angle_gamma 90.00
loop_
_space_group_symop_operation_xyz
'x,y,z'
'-x,-y,-z'
'-y+1/2,x,z'
'y+1/2,-x,-z'
'-x+1/2,-y+1/2,z'
'x+1/2,y+1/2,-z'
'y,-x+1/2,z'
'-y,x+1/2,-z'
'x+1/2,-y,-z'
'-x+1/2,y,z'
'-y,-x,-z'
'y,x,z'
'-x,y+1/2,-z'
'x,-y+1/2,z'
'y+1/2,x+1/2,-z'
'-y+1/2,-x+1/2,z'
loop_
_atom_site_label
_atom_site_type_symbol
_atom_site_fract_x
_atom_site_fract_y
_atom_site_fract_z
Na1 Na 0.250 0.750 0.000
Lu1 Lu 0.250 0.250 0.397
As1 As 0.250 0.250 0.786
O1 O 0.250 0.750 0.500
```

Version ii
The following is a PBE calculation of an optimized crystal structure of NaLuAsO, from OQMD via LeMat-Bulk.

spin magnetization = 0.86 μB per formula unit

Geometry as CIF:
```
data_NaLuAsO
_space_group_name_H-M_alt 'P 4/n m m'
_space_group_IT_number 129
_cell_length_a 5.577
_cell_length_b 5.577
_cell_length_c 4.892
_cell_angle_alpha 90.00
_cell_angle_beta 90.00
_cell_angle_gamma 90.00
loop_
_space_group_symop_operation_xyz
'x,y,z'
'-x,-y,-z'
'-y+1/2,x,z'
'y+1/2,-x,-z'
'-x+1/2,-y+1/2,z'
'x+1/2,y+1/2,-z'
'y,-x+1/2,z'
'-y,x+1/2,-z'
'x+1/2,-y,-z'
'-x+1/2,y,z'
'-y,-x,-z'
'y,x,z'
'-x,y+1/2,-z'
'x,-y+1/2,z'
'y+1/2,x+1/2,-z'
'-y+1/2,-x+1/2,z'
loop_
_atom_site_label
_atom_site_type_symbol
_atom_site_fract_x
_atom_site_fract_y
_atom_site_fract_z
Na1 Na 0.250 0.250 0.002
Lu1 Lu 0.250 0.750 0.500
As1 As 0.250 0.250 0.502
O1 O 0.250 0.750 0.000
```

The computed energies, referenced to the most stable structure and given in meV per atom, are version i 0; version ii 568.

Version i
The following is a PBE calculation of an optimized crystal structure of LuNbNiAs, from OQMD via LeMat-Bulk.

spin magnetization = 2.72 μB per formula unit

Geometry as CIF:
```
data_LuNbNiAs
_space_group_name_H-M_alt 'F -4 3 m'
_space_group_IT_number 216
_space_group_name_Hall 'F -4 2 3'
_cell_length_a 6.622
_cell_length_b 6.622
_cell_length_c 6.622
_cell_angle_alpha 90.00
_cell_angle_beta 90.00
_cell_angle_gamma 90.00
loop_
_atom_site_label
_atom_site_type_symbol
_atom_site_fract_x
_atom_site_fract_y
_atom_site_fract_z
Lu1 Lu 0.000 0.000 0.000
Nb1 Nb 0.250 0.250 0.750
Ni1 Ni 0.000 0.000 0.500
As1 As 0.250 0.250 0.250
```

Version ii
The following is a PBE calculation of an optimized crystal structure of LuNbNiAs, from OQMD via LeMat-Bulk.

spin magnetization = 0.05 μB per formula unit

Geometry as CIF:
```
data_LuNbNiAs
_space_group_name_H-M_alt 'F -4 3 m'
_space_group_IT_number 216
_space_group_name_Hall 'F -4 2 3'
_cell_length_a 6.475
_cell_length_b 6.475
_cell_length_c 6.475
_cell_angle_alpha 90.00
_cell_angle_beta 90.00
_cell_angle_gamma 90.00
loop_
_atom_site_label
_atom_site_type_symbol
_atom_site_fract_x
_atom_site_fract_y
_atom_site_fract_z
Lu1 Lu 0.000 0.000 0.000
Nb1 Nb 0.250 0.250 0.250
Ni1 Ni 0.250 0.250 0.750
As1 As 0.000 0.000 0.500
```

The computed energies, referenced to the most stable structure and given in meV per atom, are version i 216; version ii 0.

Version i
The following is a PBE calculation of an optimized crystal structure of LuNbAsO, from OQMD via LeMat-Bulk.

spin magnetization = 0.10 μB per formula unit

Geometry as CIF:
```
data_LuNbAsO
_space_group_name_H-M_alt 'P 4/n m m'
_space_group_IT_number 129
_cell_length_a 4.028
_cell_length_b 4.028
_cell_length_c 7.993
_cell_angle_alpha 90.00
_cell_angle_beta 90.00
_cell_angle_gamma 90.00
loop_
_space_group_symop_operation_xyz
'x,y,z'
'-x,-y,-z'
'-y+1/2,x,z'
'y+1/2,-x,-z'
'-x+1/2,-y+1/2,z'
'x+1/2,y+1/2,-z'
'y,-x+1/2,z'
'-y,x+1/2,-z'
'x+1/2,-y,-z'
'-x+1/2,y,z'
'-y,-x,-z'
'y,x,z'
'-x,y+1/2,-z'
'x,-y+1/2,z'
'y+1/2,x+1/2,-z'
'-y+1/2,-x+1/2,z'
loop_
_atom_site_label
_atom_site_type_symbol
_atom_site_fract_x
_atom_site_fract_y
_atom_site_fract_z
Lu1 Lu 0.250 0.750 0.000
Nb1 Nb 0.250 0.250 0.378
As1 As 0.250 0.250 0.754
O1 O 0.250 0.750 0.500
```

Version ii
The following is a PBE calculation of an optimized crystal structure of LuNbAsO, from OQMD via LeMat-Bulk.

spin magnetization = 0.21 μB per formula unit

Geometry as CIF:
```
data_LuNbAsO
_space_group_name_H-M_alt 'P m c 21'
_space_group_IT_number 26
_space_group_name_Hall 'P 2c -2'
_cell_length_a 3.777
_cell_length_b 7.424
_cell_length_c 5.570
_cell_angle_alpha 90.00
_cell_angle_beta 90.00
_cell_angle_gamma 90.00
loop_
_atom_site_label
_atom_site_type_symbol
_atom_site_fract_x
_atom_site_fract_y
_atom_site_fract_z
Lu1 Lu 0.000 0.185 0.000
Nb1 Nb 0.500 0.437 0.586
As1 As 0.000 0.191 0.501
O1 O 0.500 0.305 0.947
```

The computed energies, referenced to the most stable structure and given in meV per atom, are version i 591; version ii 0.

Version i
The following is a PBE calculation of an optimized crystal structure of LuNbAsO, from OQMD via LeMat-Bulk.

spin magnetization = 0.01 μB per formula unit

Geometry as CIF:
```
data_LuNbAsO
_space_group_name_H-M_alt 'P 4/n m m'
_space_group_IT_number 129
_cell_length_a 3.914
_cell_length_b 3.914
_cell_length_c 8.872
_cell_angle_alpha 90.00
_cell_angle_beta 90.00
_cell_angle_gamma 90.00
loop_
_space_group_symop_operation_xyz
'x,y,z'
'-x,-y,-z'
'-y+1/2,x,z'
'y+1/2,-x,-z'
'-x+1/2,-y+1/2,z'
'x+1/2,y+1/2,-z'
'y,-x+1/2,z'
'-y,x+1/2,-z'
'x+1/2,-y,-z'
'-x+1/2,y,z'
'-y,-x,-z'
'y,x,z'
'-x,y+1/2,-z'
'x,-y+1/2,z'
'y+1/2,x+1/2,-z'
'-y+1/2,-x+1/2,z'
loop_
_atom_site_label
_atom_site_type_symbol
_atom_site_fract_x
_atom_site_fract_y
_atom_site_fract_z
Lu1 Lu 0.250 0.250 0.116
Nb1 Nb 0.250 0.750 0.500
As1 As 0.250 0.250 0.705
O1 O 0.250 0.750 0.000
```

Version ii
The following is a PBE calculation of an optimized crystal structure of LuNbAsO, from OQMD via LeMat-Bulk.

spin magnetization = 0.00 μB per formula unit

Geometry as CIF:
```
data_LuNbAsO
_space_group_name_H-M_alt 'P m c 21'
_space_group_IT_number 26
_space_group_name_Hall 'P 2c -2'
_cell_length_a 4.166
_cell_length_b 5.026
_cell_length_c 6.460
_cell_angle_alpha 90.00
_cell_angle_beta 90.00
_cell_angle_gamma 90.00
loop_
_atom_site_label
_atom_site_type_symbol
_atom_site_fract_x
_atom_site_fract_y
_atom_site_fract_z
Lu1 Lu 0.000 0.203 0.000
Nb1 Nb 0.500 0.382 0.336
As1 As 0.500 0.124 0.689
O1 O 0.000 0.398 0.324
```

The computed energies, referenced to the most stable structure and given in meV per atom, are version i 0; version ii 271.

Version i
The following is a PBE calculation of an optimized crystal structure of NdLuAsO, from OQMD via LeMat-Bulk.

spin magnetization = 0.00 μB per formula unit

Geometry as CIF:
```
data_NdLuAsO
_space_group_name_H-M_alt 'P 4/n m m'
_space_group_IT_number 129
_cell_length_a 4.373
_cell_length_b 4.373
_cell_length_c 8.941
_cell_angle_alpha 90.00
_cell_angle_beta 90.00
_cell_angle_gamma 90.00
loop_
_space_group_symop_operation_xyz
'x,y,z'
'-x,-y,-z'
'-y+1/2,x,z'
'y+1/2,-x,-z'
'-x+1/2,-y+1/2,z'
'x+1/2,y+1/2,-z'
'y,-x+1/2,z'
'-y,x+1/2,-z'
'x+1/2,-y,-z'
'-x+1/2,y,z'
'-y,-x,-z'
'y,x,z'
'-x,y+1/2,-z'
'x,-y+1/2,z'
'y+1/2,x+1/2,-z'
'-y+1/2,-x+1/2,z'
loop_
_atom_site_label
_atom_site_type_symbol
_atom_site_fract_x
_atom_site_fract_y
_atom_site_fract_z
Nd1 Nd 0.250 0.250 0.112
Lu1 Lu 0.250 0.750 0.500
As1 As 0.250 0.250 0.693
O1 O 0.250 0.750 0.000
```

Version ii
The following is a PBE calculation of an optimized crystal structure of NdLuAsO, from OQMD via LeMat-Bulk.

spin magnetization = 0.16 μB per formula unit

Geometry as CIF:
```
data_NdLuAsO
_space_group_name_H-M_alt 'P 4/n m m'
_space_group_IT_number 129
_cell_length_a 4.252
_cell_length_b 4.252
_cell_length_c 9.090
_cell_angle_alpha 90.00
_cell_angle_beta 90.00
_cell_angle_gamma 90.00
loop_
_space_group_symop_operation_xyz
'x,y,z'
'-x,-y,-z'
'-y+1/2,x,z'
'y+1/2,-x,-z'
'-x+1/2,-y+1/2,z'
'x+1/2,y+1/2,-z'
'y,-x+1/2,z'
'-y,x+1/2,-z'
'x+1/2,-y,-z'
'-x+1/2,y,z'
'-y,-x,-z'
'y,x,z'
'-x,y+1/2,-z'
'x,-y+1/2,z'
'y+1/2,x+1/2,-z'
'-y+1/2,-x+1/2,z'
loop_
_atom_site_label
_atom_site_type_symbol
_atom_site_fract_x
_atom_site_fract_y
_atom_site_fract_z
Nd1 Nd 0.250 0.750 0.000
Lu1 Lu 0.250 0.250 0.410
As1 As 0.250 0.250 0.775
O1 O 0.250 0.750 0.500
```

The computed energies, referenced to the most stable structure and given in meV per atom, are version i 0; version ii 172.